Below is a crystal of Ba2NiBRu relaxed with PBEsol, with properties calculated at the SCAN level.

## Properties
magnetization = 0.1375 μB/atom
raw total energy = -26.405 eV per atom
space-group type = P4/mmm

Unit cell a=4.314 b=5.741 c=5.741 alpha=90.00 beta=90.00 gamma=90.00
Each line ends with the local moment (μB).
Atoms (fractional coordinates):
Ru1 0.500 0.000 0.000  -1.03
B1 0.500 0.500 0.500  0.56
Ba1 0.000 0.000 0.500  0.07
Ba2 0.000 0.500 0.000  0.07
Ni1 0.000 0.000 0.000  -0.09